# PmHo4Er2Tm

A relaxed structure of PmHo4Er2Tm (PBE, Alexandria via LeMat-Bulk).

The calculation puts the density at 8.34 g cm⁻³. Its space group is C2/c (15). As for the total magnetic moment: 3.198 μB per formula unit. The final energy is -4.1354 eV/atom. As for the formation energy: 3.58 eV/f.u.

Cell lengths 9.4440, 9.4440, 11.6843 Å; angles 128.21, 128.21, 88.83 degrees
Last column: nearest neighbours and their distance in Å.
Positions (direct):
Tm  0.0000  0.0000  0.0000  6 Ho 3.30-3.37, 2 Tm 3.37
Tm  0.5000  0.5000  0.5000  6 Ho 3.30-3.37, 2 Tm 3.37
Er  0.0000  0.0000  0.5000  6 Ho 3.31-3.38, 2 Er 3.37
Er  0.5000  0.0000  0.0000  6 Ho 3.28-3.37, 2 Pm 3.37
Er  0.5000  0.0000  0.5000  6 Ho 3.28-3.37, 2 Pm 3.37
Er  0.5000  0.5000  0.0000  6 Ho 3.31-3.38, 2 Er 3.37
Ho  0.7478  0.2491  0.4986  1 Tm 3.30, 3 Er 3.31-3.37, 2 Ho 3.35-3.39, 2 Pm 3.38
Ho  0.2502  0.2461  0.4976  3 Er 3.28-3.38, 1 Pm 3.33, 2 Tm 3.36-3.37, 2 Ho 3.37
Ho  0.2539  0.2498  0.0024  3 Er 3.28-3.38, 1 Pm 3.33, 2 Tm 3.36-3.37, 2 Ho 3.37
Ho  0.2522  0.7509  0.5014  1 Tm 3.30, 3 Er 3.31-3.37, 2 Ho 3.35-3.39, 2 Pm 3.38
Ho  0.7461  0.7502  0.9976  3 Er 3.28-3.38, 1 Pm 3.33, 2 Tm 3.36-3.37, 2 Ho 3.37
Ho  0.7498  0.7539  0.5024  3 Er 3.28-3.38, 1 Pm 3.33, 2 Tm 3.36-3.37, 2 Ho 3.37
Ho  0.7491  0.2478  0.9986  1 Tm 3.30, 3 Er 3.31-3.37, 2 Ho 3.35-3.39, 2 Pm 3.38
Ho  0.2509  0.7522  0.0014  1 Tm 3.30, 3 Er 3.31-3.37, 2 Ho 3.35-3.39, 2 Pm 3.38
Pm  0.0000  0.5000  0.5000  6 Ho 3.33-3.38, 2 Er 3.37
Pm  0.0000  0.5000  0.0000  6 Ho 3.33-3.38, 2 Er 3.37